1.
TaCdW: relaxed, PBE.

Output
- Energy: -24.48 eV for the cell shown
- Formation energy from the elements: 414.6 meV per atom
- Energy above the most stable polymorph in this dataset: 0.1222 eV per atom
- Fermi-level density of states: 0.637 states/eV per atom

Cell: 7.355 7.355 7.355 Å, 158.33 158.33 30.83°
Element x y z (fractional)
Cd  0.002  0.002  0.000
W  0.667  0.667  0.000
Ta  0.331  0.331  0.000



2.
TaCd2W: relaxed, PBE.

Output
- Energy: -25.14 eV for the cell shown
- Formation energy from the elements: 374.8 meV per atom
- Energy above the most stable polymorph in this dataset: 0.1317 eV per atom
- Fermi-level density of states: 0.863 states/eV per atom

Cell: 10.436 10.436 10.436 Å, 16.05 16.05 16.05°
Element x y z (fractional)
Cd  0.997  0.997  0.997
Cd  0.752  0.752  0.752
W  0.249  0.249  0.249
Ta  0.503  0.503  0.503



3.
Ta2CdW: relaxed, PBE.

Output
- Energy: -36.74 eV for the cell shown
- Formation energy from the elements: 208.8 meV per atom
- Fermi-level density of states: 1.046 states/eV per atom

Cell: 2.827 2.827 9.596 Å, 90.00 90.00 108.33°
Element x y z (fractional)
Cd  0.500  0.500  0.745
W  0.000  0.000  0.489
Ta  0.000  0.000  0.010
Ta  0.500  0.500  0.256



4.
Ta2CdW: relaxed, PBE.

Output
- Energy: -36.21 eV for the cell shown
- Formation energy from the elements: 339.7 meV per atom
- Fermi-level density of states: 0.877 states/eV per atom

Cell: 2.774 4.359 6.022 Å, 90.00 90.00 90.00°
Element x y z (fractional)
Cd  0.500  0.500  0.750
W  0.500  0.500  0.250
Ta  0.000  0.000  0.010
Ta  0.000  0.000  0.490